This record from Alexandria describes crystalline Ba2ZrSe3 at its relaxed geometry. The functional is PBE.

- energy relative to the elements, uncorrected (eV/atom) = -1.5974
- total magnetic moment (μB per cell) = 0.0

The structure in CIF format:
```
data_Ba2ZrSe3
_space_group_name_H-M_alt 'I m m m'
_space_group_IT_number 71
_space_group_name_Hall '-I 2 2'
_cell_length_a 4.3882
_cell_length_b 5.2387
_cell_length_c 16.9299
_cell_angle_alpha 90.00
_cell_angle_beta 90.00
_cell_angle_gamma 90.00
loop_
_atom_site_label
_atom_site_type_symbol
_atom_site_fract_x
_atom_site_fract_y
_atom_site_fract_z
Ba1 Ba 0.0000 0.0000 0.1447
Zr1 Zr 0.0000 0.0000 0.5000
Se1 Se 0.0000 0.0000 0.3405
Se2 Se 0.0000 0.5000 0.5000
```

This record from Alexandria describes crystalline BaZrSe at its relaxed geometry. The functional is PBE.

- energy relative to the elements, uncorrected (eV/atom) = 0.5682
- total magnetic moment (μB per cell) = 15.7

The structure in CIF format:
```
data_BaZrSe
_space_group_name_H-M_alt 'F -4 3 m'
_space_group_IT_number 216
_space_group_name_Hall 'F -4 2 3'
_cell_length_a 7.7068
_cell_length_b 7.7068
_cell_length_c 7.7068
_cell_angle_alpha 90.00
_cell_angle_beta 90.00
_cell_angle_gamma 90.00
loop_
_atom_site_label
_atom_site_type_symbol
_atom_site_fract_x
_atom_site_fract_y
_atom_site_fract_z
Ba1 Ba 0.0000 0.0000 0.0000
Zr1 Zr 0.2500 0.2500 0.7500
Se1 Se 0.2500 0.2500 0.2500
```

This record from Alexandria describes crystalline BaZrSe3 at its relaxed geometry. The functional is PBE.

- energy relative to the elements, uncorrected (eV/atom) = -1.6424
- total magnetic moment (μB per cell) = 0.0

The structure in CIF format:
```
data_BaZrSe3
_space_group_name_H-M_alt 'P n m a'
_space_group_IT_number 62
_cell_length_a 9.1941
_cell_length_b 4.0712
_cell_length_c 15.1359
_cell_angle_alpha 90.00
_cell_angle_beta 90.00
_cell_angle_gamma 90.00
loop_
_space_group_symop_operation_xyz
'x,y,z'
'-x,-y,-z'
'-x+1/2,-y,z+1/2'
'x+1/2,y,-z+1/2'
'x+1/2,-y+1/2,-z+1/2'
'-x+1/2,y+1/2,z+1/2'
'-x,y+1/2,-z'
'x,-y+1/2,z'
loop_
_atom_site_label
_atom_site_type_symbol
_atom_site_fract_x
_atom_site_fract_y
_atom_site_fract_z
Ba1 Ba 0.0640 0.2500 0.1745
Zr1 Zr 0.1634 0.7500 0.4408
Se1 Se 0.0243 0.7500 0.6054
Se2 Se 0.1684 0.7500 0.0058
Se3 Se 0.2153 0.2500 0.7859
```

This record from Alexandria describes crystalline BaSi2 at its relaxed geometry. The functional is PBE.

- energy relative to the elements, uncorrected (eV/atom) = -0.0420
- total magnetic moment (μB per cell) = 0.0

The structure in CIF format:
```
data_BaSi2
_space_group_name_H-M_alt 'C m c m'
_space_group_IT_number 63
_space_group_name_Hall '-C 2c 2'
_cell_length_a 3.7483
_cell_length_b 22.0782
_cell_length_c 3.8793
_cell_angle_alpha 90.00
_cell_angle_beta 90.00
_cell_angle_gamma 90.00
loop_
_atom_site_label
_atom_site_type_symbol
_atom_site_fract_x
_atom_site_fract_y
_atom_site_fract_z
Ba1 Ba 0.0000 0.1159 0.2500
Si1 Si 0.0000 0.2501 0.7500
Si2 Si 0.0000 0.4712 0.2500
```

Which formula does entry 4 have? BaSi2